Density functional theory data (SCAN) for LiYMg14O16 at its PBEsol-relaxed geometry.

```
32
Lattice="4.266 0.000 0.000 0.000 8.516 0.000 0.000 0.000 8.541" Properties=species:S:1:pos:R:3 pbc="T T T"
Li 0.000 0.000 4.271
Y 0.000 0.000 0.000
Mg 0.000 4.258 0.000
Mg 0.000 4.258 4.271
Mg 2.133 0.000 2.297
Mg 2.133 0.000 6.244
Mg 2.133 4.258 2.169
Mg 2.133 4.258 6.373
Mg 2.133 2.226 0.000
Mg 2.133 2.094 4.271
Mg 2.133 6.290 0.000
Mg 2.133 6.421 4.271
Mg 0.000 2.150 2.236
Mg 0.000 2.150 6.305
Mg 0.000 6.366 2.236
Mg 0.000 6.366 6.305
O 0.000 2.209 0.000
O 0.000 2.211 4.271
O 0.000 6.307 0.000
O 0.000 6.305 4.271
O 2.133 2.123 2.118
O 2.133 2.123 6.423
O 2.133 6.393 2.118
O 2.133 6.393 6.423
O 2.133 0.000 0.000
O 2.133 0.000 4.271
O 2.133 4.258 0.000
O 2.133 4.258 4.271
O 0.000 0.000 2.185
O 0.000 0.000 6.356
O 0.000 4.258 2.125
O 0.000 4.258 6.416
```

total moment	0.0	μB per formula unit
uncorrected formation energy	-2.989	eV per atom
volume	9.70	Å³/atom



Density functional theory data (SCAN) for Li2MgZrO4 at its PBEsol-relaxed geometry.

```
8
Lattice="-1.009 2.523 -3.204 -4.013 -0.029 1.241 3.278 2.315 3.544" Properties=species:S:1:pos:R:3 pbc="T T T"
Mg -0.121 3.042 -0.321
O 0.357 1.655 1.191
O 0.244 4.736 0.898
O -0.486 1.348 -1.539
O -2.100 3.153 0.390
Zr 0.000 0.000 0.000
Li -2.511 1.247 -0.981
Li -1.623 1.767 1.902
```

total moment	0.0	μB per formula unit
uncorrected formation energy	-2.990	eV per atom
volume	9.83	Å³/atom



Density functional theory data (SCAN) for LiMgOs2 at its PBEsol-relaxed geometry.

```
4
Lattice="2.744 0.000 0.000 -1.372 4.334 0.006 0.000 -0.535 4.923" Properties=species:S:1:pos:R:3 pbc="T T T"
Li 1.372 -0.228 2.396
Mg 1.372 1.959 1.361
Os 1.372 3.799 4.696
Os 0.000 1.801 3.865
```

total moment	0.0	μB per formula unit
volume	14.64	Å³/atom
energy of formation from the pure elements	0.115	eV per atom



Density functional theory data (SCAN) for LiMgOs2 at its PBEsol-relaxed geometry.

```
4
Lattice="-0.764 1.732 -1.877 -3.046 -3.383 -1.283 -1.182 2.531 4.410" Properties=species:S:1:pos:R:3 pbc="T T T"
Li -0.382 0.866 -0.939
Mg -1.523 -1.692 -0.642
Os -0.591 1.265 2.205
Os -2.496 0.440 0.625
```

total moment	0.0	μB per formula unit
volume	14.20	Å³/atom
energy of formation from the pure elements	0.162	eV per atom



Density functional theory data (SCAN) for LiMgOs2 at its PBEsol-relaxed geometry.

```
4
Lattice="-1.895 1.214 1.610 -2.641 0.114 -0.817 -3.161 -7.695 4.457" Properties=species:S:1:pos:R:3 pbc="T T T"
Li -3.881 -3.345 2.708
Mg -1.898 -1.461 1.245
Os -3.132 -7.553 4.385
Os -5.795 -4.885 3.995
```

total moment	0.0	μB per formula unit
volume	15.42	Å³/atom
energy of formation from the pure elements	0.208	eV per atom



Density functional theory data (SCAN) for Li2Mg2Os at its PBEsol-relaxed geometry.

```
5
Lattice="4.721 0.000 0.000 -2.360 4.152 0.006 0.000 2.678 3.888" Properties=species:S:1:pos:R:3 pbc="T T T"
Li 0.000 4.693 2.500
Li 2.360 2.137 1.394
Mg 2.360 4.084 2.919
Mg 0.000 2.746 0.975
Os 0.000 0.000 0.000
```

total moment	0.0	μB per formula unit
volume	15.23	Å³/atom
energy of formation from the pure elements	0.410	eV per atom



Density functional theory data (SCAN) for Li2MgOs at its PBEsol-relaxed geometry.

```
4
Lattice="2.589 0.000 0.000 -1.294 4.573 -0.039 0.000 -0.571 5.049" Properties=species:S:1:pos:R:3 pbc="T T T"
Li 0.000 0.021 0.047
Li 0.000 1.862 3.834
Mg 0.000 4.276 2.349
Os 1.294 2.132 1.265
```

total moment	0.0	μB per formula unit
volume	14.93	Å³/atom
energy of formation from the pure elements	0.166	eV per atom



Density functional theory data (SCAN) for Li2MgOsRu at its PBEsol-relaxed geometry.

```
5
Lattice="-0.418 -3.416 -2.074 2.831 -1.725 2.271 -3.310 -1.438 3.035" Properties=species:S:1:pos:R:3 pbc="T T T"
Ru -0.448 -3.290 1.616
Mg 0.000 0.000 0.000
Os -1.655 -0.719 1.518
Li 1.416 -0.863 1.135
Li -0.209 -1.708 -1.037
```

total moment	2.7	μB per formula unit
volume	15.23	Å³/atom
energy of formation from the pure elements	1.387	eV per atom



Density functional theory data (SCAN) for LiMg4P at its PBEsol-relaxed geometry.

```
6
Lattice="-1.117 5.476 0.962 -3.207 2.924 -3.651 -5.233 1.609 1.481" Properties=species:S:1:pos:R:3 pbc="T T T"
Li 0.000 0.000 0.000
Mg -3.591 3.761 -0.454
Mg -6.191 4.561 0.281
Mg -4.146 6.482 0.024
Mg -5.185 5.214 -2.268
P -7.167 7.506 -0.906
```

total moment	0.0	μB per formula unit
volume	21.49	Å³/atom
energy of formation from the pure elements	0.243	eV per atom



Density functional theory data (SCAN) for Li3MgP at its PBEsol-relaxed geometry.

```
5
Lattice="4.697 0.000 0.000 0.000 4.697 0.000 0.000 0.000 4.697" Properties=species:S:1:pos:R:3 pbc="T T T"
P 0.000 0.000 0.000
Mg 2.349 2.349 2.349
Li 0.000 2.349 0.000
Li 0.000 0.000 2.349
Li 2.349 0.000 0.000
```

total moment	0.0	μB per formula unit
volume	20.73	Å³/atom
energy of formation from the pure elements	-0.280	eV per atom



Density functional theory data (SCAN) for LiMg3P at its PBEsol-relaxed geometry.

```
5
Lattice="-2.131 4.456 0.159 -2.438 -1.017 -4.176 -3.733 -1.880 2.637" Properties=species:S:1:pos:R:3 pbc="T T T"
P 0.000 0.000 0.000
Mg -1.219 -0.509 -2.088
Mg -1.866 -0.940 1.318
Mg -1.066 2.228 0.080
Li -4.151 0.779 -0.690
```

total moment	0.1	μB per formula unit
volume	24.14	Å³/atom
energy of formation from the pure elements	-0.048	eV per atom



Density functional theory data (SCAN) for Li2MgPPt at its PBEsol-relaxed geometry.

```
5
Lattice="4.493 0.000 0.000 0.000 4.493 0.000 0.000 0.000 4.933" Properties=species:S:1:pos:R:3 pbc="T T T"
P 2.246 2.246 2.466
Mg 0.000 0.000 2.466
Pt 0.000 0.000 0.000
Li 0.000 2.246 0.000
Li 2.246 0.000 0.000
```

total moment	1.0	μB per formula unit
volume	19.91	Å³/atom
energy of formation from the pure elements	-0.007	eV per atom